(1)
First-principles (PBE-GGA) data for a relaxed ZnBAsH crystal, as listed in Alexandria.

It has space group P1 (No. 1), with a = 3.4240 Å, b = 3.9164 Å, c = 4.3156 Å, α = 72.21°, β = 89.86° and γ = 89.97°. The asymmetric unit holds Zn at (0.0000, 0.0000, 0.0000), B at (0.9981, 0.4251, 0.2052), As at (0.4973, 0.3834, 0.4746) and H at (0.4964, 0.6987, 0.6256).

As for the crystal system: triclinic. The energy relative to the lowest polymorph listed for this composition is 0.216 eV/atom. As for the calculated volume: 55 Å³/cell. Its size of the total moment is 0.0 μB/f.u.


(2)
First-principles (PBE-GGA) data for a relaxed ZnBAsH crystal, as listed in Alexandria.

It has space group Pm (No. 6), with a = 4.5044 Å, b = 3.2403 Å, c = 4.8299 Å, α = 90.00°, β = 106.23° and γ = 90.00°. The asymmetric unit holds Zn at (0.0000, 0.0000, 0.0000), B at (0.8527, 0.5000, 0.6787), As at (0.7669, 0.0000, 0.4242) and H at (0.3876, 0.0000, 0.2147).

As for the crystal system: monoclinic. The energy relative to the lowest polymorph listed for this composition is 0.354 eV/atom. As for the calculated volume: 68 Å³/cell. Its size of the total moment is 0.0 μB/f.u.


The highest energy relative to the lowest polymorph listed for this composition belongs to which entry?
number 2


What did the second record say?
First-principles (PBE-GGA) data for a relaxed ZnBAsH crystal, as listed in Alexandria.

It has space group Pm (No. 6), with a = 4.5044 Å, b = 3.2403 Å, c = 4.8299 Å, α = 90.00°, β = 106.23° and γ = 90.00°. The asymmetric unit holds Zn at (0.0000, 0.0000, 0.0000), B at (0.8527, 0.5000, 0.6787), As at (0.7669, 0.0000, 0.4242) and H at (0.3876, 0.0000, 0.2147).

As for the crystal system: monoclinic. The energy relative to the lowest polymorph listed for this composition is 0.354 eV/atom. As for the calculated volume: 68 Å³/cell. Its size of the total moment is 0.0 μB/f.u.